SrMgMnP2O8, relaxed, DFT PBE+U; theoretical density = 3.10 g/cm³; excess energy over the best structure of this formula in the dataset = 0.727 eV/atom
1.0
5.484 0.000 0.000
-0.039 7.556 0.000
-1.462 -1.445 9.237
Sr Mg Mn P O
2 2 2 4 16
Cartesian
0.010 1.570 3.485 Sr
3.973 4.541 5.752 Sr
0.560 6.786 1.063 Mg
3.423 -0.674 8.174 Mg
1.964 2.147 0.644 Mn
2.019 3.964 8.593 Mn
1.092 4.516 2.767 P
0.957 -0.630 5.964 P
3.026 6.742 3.272 P
2.891 1.595 6.470 P
0.356 1.235 0.664 O
-0.362 -0.864 6.710 O
0.262 4.231 4.055 O
1.630 3.077 2.396 O
0.619 2.671 9.015 O
1.307 0.936 5.817 O
1.823 -0.081 2.738 O
2.406 6.888 0.026 O
1.577 -0.776 9.211 O
2.160 6.192 6.498 O
2.676 5.176 3.420 O
3.364 3.440 0.221 O
2.353 3.035 6.841 O
3.721 1.881 5.182 O
4.345 6.976 2.527 O
3.627 4.876 8.573 O